! TlRu2C, single point on PBEsol structure, DFT meta-GGA SCAN; values from VASP
&SYSTEM
  ibrav = 0, nat = 4, ntyp = 3
/
ATOMIC_SPECIES
C 12.01 C.upf
Ru 101.07 Ru.upf
Tl 204.38 Tl.upf
CELL_PARAMETERS angstrom
-3.437 1.412 2.110
-3.893 -1.383 -1.089
-2.139 -2.629 2.602
ATOMIC_POSITIONS crystal
C 0.000 0.000 0.000
Ru 0.750 0.750 0.750
Ru 0.250 0.250 0.250
Tl 0.500 0.500 0.500
! Symmetry   No. 225
! Magnetization   0.001 μB per cell
! Energy of formation   680 kJ/mol of formula units
! Theoretical density   12.599 Mg/m³
! N(E_F)   4.4 states/eV per cell
! Calculated volume   55.2 Å³/cell

***

! LaNi2I2, single point on PBEsol structure, DFT meta-GGA SCAN; values from VASP
&SYSTEM
  ibrav = 0, nat = 5, ntyp = 3
/
ATOMIC_SPECIES
La 138.91 La.upf
Ni 58.69 Ni.upf
I 126.90 I.upf
CELL_PARAMETERS angstrom
-2.320 -3.149 0.138
2.972 -2.242 -1.206
1.478 1.647 6.929
ATOMIC_POSITIONS crystal
La 0.000 0.000 0.000
Ni 0.250 0.750 0.500
Ni 0.750 0.250 0.500
I 0.629 0.629 0.257
I 0.371 0.371 0.743
! E_form (uncorrected)   -0.147 eV/atom
! Symmetry   No. 139
! Magnetization   0.000 μB per cell
! Theoretical density   8.221 Mg/m³
! N(E_F)   1.5 states/eV per cell
! Calculated volume   103.0 Å³/cell

***

! Tl3AsSe4, single point on PBEsol structure, DFT meta-GGA SCAN; values from VASP
&SYSTEM
  ibrav = 0, nat = 32, ntyp = 3
/
ATOMIC_SPECIES
Tl 204.38 Tl.upf
As 74.92 As.upf
Se 78.96 Se.upf
CELL_PARAMETERS angstrom
8.933 0.000 0.000
0.000 9.364 0.000
0.000 0.000 10.882
ATOMIC_POSITIONS crystal
Tl 0.890 0.118 0.250
As 0.782 0.528 0.250
Se 0.856 0.969 0.927
Se 0.856 0.969 0.573
Se 0.975 0.575 0.750
As 0.218 0.472 0.750
Se 0.144 0.031 0.073
Tl 0.068 0.688 0.049
Tl 0.432 0.188 0.951
Tl 0.932 0.312 0.549
Tl 0.568 0.812 0.049
Se 0.182 0.221 0.750
Tl 0.068 0.688 0.451
Se 0.818 0.779 0.250
Tl 0.110 0.882 0.750
Se 0.356 0.531 0.573
As 0.718 0.028 0.750
Tl 0.432 0.188 0.549
Se 0.682 0.279 0.750
Se 0.318 0.721 0.250
Tl 0.568 0.812 0.451
Se 0.644 0.469 0.073
Tl 0.932 0.312 0.951
Se 0.644 0.469 0.427
Tl 0.610 0.618 0.750
Se 0.025 0.425 0.250
As 0.282 0.972 0.250
Se 0.144 0.031 0.427
Se 0.356 0.531 0.927
Se 0.525 0.075 0.250
Se 0.475 0.925 0.750
Tl 0.390 0.382 0.250
! E_form (uncorrected)   -0.315 eV/atom
! Symmetry   No. 62
! Magnetization   0.000 μB per cell
! Theoretical density   7.326 Mg/m³
! Calculated volume   910.2 Å³/cell

***

! HfMg2TcC, single point on PBEsol structure, DFT meta-GGA SCAN; values from VASP
&SYSTEM
  ibrav = 0, nat = 5, ntyp = 4
/
ATOMIC_SPECIES
Mg 24.30 Mg.upf
C 12.01 C.upf
Tc 98.00 Tc.upf
Hf 178.49 Hf.upf
CELL_PARAMETERS angstrom
-3.195 -0.172 -2.169
-1.557 -3.872 2.600
-2.288 3.023 3.131
ATOMIC_POSITIONS crystal
Mg 0.000 0.500 0.000
C 0.500 0.000 0.000
Mg 0.000 0.000 0.500
Tc 0.000 0.000 0.000
Hf 0.500 0.500 0.500
! Symmetry   No. 123
! Magnetization   0.001 μB per cell
! Energy of formation   524 kJ/mol of formula units
! Theoretical density   5.989 Mg/m³
! N(E_F)   4.1 states/eV per cell
! Calculated volume   93.5 Å³/cell

***

! Li2VPO5, single point on PBEsol structure, DFT meta-GGA SCAN; values from VASP
&SYSTEM
  ibrav = 0, nat = 18, ntyp = 4
/
ATOMIC_SPECIES
O 16.00 O.upf
V 50.94 V.upf
P 30.97 P.upf
Li 6.94 Li.upf
CELL_PARAMETERS angstrom
3.914 0.000 0.000
0.000 6.603 0.000
0.000 0.000 6.604
ATOMIC_POSITIONS crystal
O 0.721 0.500 0.439
V 0.354 0.000 0.246
O 0.278 0.693 0.245
P 0.500 0.500 0.246
Li 0.977 0.762 0.483
P 0.500 0.000 0.746
Li 0.977 0.238 0.483
O 0.723 0.500 0.053
V 0.646 0.500 0.746
O 0.833 0.000 0.254
O 0.278 0.307 0.245
O 0.167 0.500 0.754
O 0.722 0.807 0.745
Li 0.023 0.262 0.983
Li 0.023 0.738 0.983
O 0.277 0.000 0.553
O 0.722 0.193 0.745
O 0.279 0.000 0.939
! E_form (uncorrected)   -2.575 eV/atom
! Symmetry   No. 31
! Magnetization   4.000 μB per cell
! Theoretical density   3.420 Mg/m³
! N(E_F)   1.7 states/eV per cell
! Energy relative to the lowest polymorph listed for this composition   0.000 eV per atom
! Calculated volume   170.7 Å³/cell

***

! LaScCu2, single point on PBEsol structure, DFT meta-GGA SCAN; values from VASP
&SYSTEM
  ibrav = 0, nat = 4, ntyp = 3
/
ATOMIC_SPECIES
Sc 44.96 Sc.upf
Cu 63.55 Cu.upf
La 138.91 La.upf
CELL_PARAMETERS angstrom
-0.109 -2.993 -2.018
3.847 -1.218 1.598
-2.352 -1.012 4.890
ATOMIC_POSITIONS crystal
Sc 0.240 0.500 0.856
Cu 0.933 0.500 0.241
La 0.526 0.000 0.424
Cu 0.801 0.000 0.978
! Symmetry   No. 6
! Magnetization   0.000 μB per cell
! Energy of formation   -69 kJ/mol of formula units
! Theoretical density   6.323 Mg/m³
! N(E_F)   3.6 states/eV per cell
! Energy relative to the lowest polymorph listed for this composition   0.053 eV per atom
! Calculated volume   81.7 Å³/cell

***

! TaSi2Os, single point on PBEsol structure, DFT meta-GGA SCAN; values from VASP
&SYSTEM
  ibrav = 0, nat = 4, ntyp = 3
/
ATOMIC_SPECIES
Si 28.09 Si.upf
Os 190.23 Os.upf
Ta 180.95 Ta.upf
CELL_PARAMETERS angstrom
4.365 0.000 0.000
2.182 3.780 0.000
2.182 1.260 3.564
ATOMIC_POSITIONS crystal
Si 0.750 0.750 0.750
Os 0.500 0.500 0.500
Si 0.000 0.000 0.000
Ta 0.250 0.250 0.250
! E_form (uncorrected)   0.056 eV/atom
! Symmetry   No. 216
! Magnetization   0.000 μB per cell
! Theoretical density   12.068 Mg/m³
! N(E_F)   1.4 states/eV per cell
! Calculated volume   58.8 Å³/cell

***

! BaSr2Ag, single point on PBEsol structure, DFT meta-GGA SCAN; values from VASP
&SYSTEM
  ibrav = 0, nat = 4, ntyp = 3
/
ATOMIC_SPECIES
Ba 137.33 Ba.upf
Ag 107.87 Ag.upf
Sr 87.62 Sr.upf
CELL_PARAMETERS angstrom
-2.648 3.014 0.668
-4.727 -4.099 -0.240
4.204 -0.430 6.225
ATOMIC_POSITIONS crystal
Ba 0.000 0.500 0.000
Ag 0.500 0.000 0.000
Sr 0.810 0.810 0.621
Sr 0.190 0.190 0.379
! Symmetry   No. 71
! Magnetization   0.114 μB per cell
! Energy of formation   -40 kJ/mol of formula units
! Theoretical density   4.197 Mg/m³
! N(E_F)   4.1 states/eV per cell
! Energy relative to the lowest polymorph listed for this composition   0.022 eV per atom
! Calculated volume   166.3 Å³/cell

***

! SnI2NO, single point on PBEsol structure, DFT meta-GGA SCAN; values from VASP
&SYSTEM
  ibrav = 0, nat = 5, ntyp = 4
/
ATOMIC_SPECIES
Sn 118.71 Sn.upf
I 126.90 I.upf
N 14.01 N.upf
O 16.00 O.upf
CELL_PARAMETERS angstrom
3.919 0.000 0.000
0.000 5.887 0.000
0.000 0.000 5.887
ATOMIC_POSITIONS crystal
Sn 0.000 0.000 0.000
I 0.000 0.000 0.500
I 0.000 0.500 0.000
N 0.500 0.500 0.500
O 0.500 0.000 0.000
! E_form (uncorrected)   0.600 eV/atom
! Symmetry   No. 123
! Magnetization   2.941 μB per cell
! Theoretical density   4.921 Mg/m³
! N(E_F)   2.7 states/eV per cell
! Calculated volume   135.8 Å³/cell

***

! InSbTe2S, single point on PBEsol structure, DFT meta-GGA SCAN; values from VASP
&SYSTEM
  ibrav = 0, nat = 5, ntyp = 4
/
ATOMIC_SPECIES
Te 127.60 Te.upf
S 32.06 S.upf
In 114.82 In.upf
Sb 121.76 Sb.upf
CELL_PARAMETERS angstrom
-0.346 2.097 -4.639
-0.482 -4.854 -2.158
-5.300 0.292 0.528
ATOMIC_POSITIONS crystal
Te 0.000 0.500 0.000
S 0.000 0.000 0.000
In 0.500 0.500 0.500
Sb 0.500 0.000 0.000
Te 0.000 0.000 0.500
! E_form (uncorrected)   0.406 eV/atom
! Symmetry   No. 123
! Magnetization   0.001 μB per cell
! Theoretical density   5.991 Mg/m³
! N(E_F)   5.7 states/eV per cell
! Calculated volume   145.2 Å³/cell

***

! TaNiSb2, single point on PBEsol structure, DFT meta-GGA SCAN; values from VASP
&SYSTEM
  ibrav = 0, nat = 4, ntyp = 3
/
ATOMIC_SPECIES
Sb 121.76 Sb.upf
Ta 180.95 Ta.upf
Ni 58.69 Ni.upf
CELL_PARAMETERS angstrom
3.127 0.010 0.000
-0.839 3.012 0.000
0.000 0.000 7.852
ATOMIC_POSITIONS crystal
Sb 0.000 0.000 0.228
Ta 0.500 0.500 0.500
Ni 0.500 0.500 0.000
Sb 0.000 0.000 0.772
! E_form (uncorrected)   0.373 eV/atom
! Symmetry   No. 65
! Magnetization   0.000 μB per cell
! Theoretical density   10.837 Mg/m³
! N(E_F)   3.3 states/eV per cell
! Energy relative to the lowest polymorph listed for this composition   0.256 eV per atom
! Calculated volume   74.0 Å³/cell

***

! CaCr2In, single point on PBEsol structure, DFT meta-GGA SCAN; values from VASP
&SYSTEM
  ibrav = 0, nat = 4, ntyp = 3
/
ATOMIC_SPECIES
Ca 40.08 Ca.upf
In 114.82 In.upf
Cr 52.00 Cr.upf
CELL_PARAMETERS angstrom
3.534 0.000 0.000
0.000 3.534 0.000
0.000 0.000 6.825
ATOMIC_POSITIONS crystal
Ca 0.500 0.500 0.500
In 0.500 0.500 0.000
Cr 0.000 0.000 0.211
Cr 0.000 0.000 0.789
! Symmetry   No. 123
! Magnetization   8.567 μB per cell
! Energy of formation   94 kJ/mol of formula units
! Theoretical density   5.045 Mg/m³
! N(E_F)   2.3 states/eV per cell
! Calculated volume   85.2 Å³/cell

***

! Sr2YIn, single point on PBEsol structure, DFT meta-GGA SCAN; values from VASP
&SYSTEM
  ibrav = 0, nat = 4, ntyp = 3
/
ATOMIC_SPECIES
Sr 87.62 Sr.upf
Y 88.91 Y.upf
In 114.82 In.upf
CELL_PARAMETERS angstrom
-0.479 1.441 -3.536
-0.993 -5.679 -2.180
-5.397 2.429 1.720
ATOMIC_POSITIONS crystal
Sr 0.000 0.000 0.500
Y 0.500 0.000 0.000
Sr 0.000 0.500 0.000
In 0.500 0.500 0.500
! Symmetry   No. 65
! Magnetization   0.000 μB per cell
! Energy of formation   -16 kJ/mol of formula units
! Theoretical density   4.545 Mg/m³
! N(E_F)   3.6 states/eV per cell
! Calculated volume   138.5 Å³/cell

***

! RePWS2, single point on PBEsol structure, DFT meta-GGA SCAN; values from VASP
&SYSTEM
  ibrav = 0, nat = 5, ntyp = 4
/
ATOMIC_SPECIES
S 32.06 S.upf
Re 186.21 Re.upf
W 183.84 W.upf
P 30.97 P.upf
CELL_PARAMETERS angstrom
4.509 0.000 0.000
0.000 4.509 0.000
0.000 0.000 4.904
ATOMIC_POSITIONS crystal
S 0.500 0.000 0.000
Re 0.500 0.500 0.500
S 0.000 0.500 0.000
W 0.000 0.000 0.000
P 0.000 0.000 0.500
! E_form (uncorrected)   1.282 eV/atom
! Symmetry   No. 123
! Magnetization   4.886 μB per cell
! Theoretical density   7.748 Mg/m³
! N(E_F)   2.2 states/eV per cell
! Calculated volume   99.7 Å³/cell

***

! SrCr10O15, single point on PBEsol structure, DFT meta-GGA SCAN; values from VASP
&SYSTEM
  ibrav = 0, nat = 52, ntyp = 3
/
ATOMIC_SPECIES
Cr 52.00 Cr.upf
O 16.00 O.upf
Sr 87.62 Sr.upf
CELL_PARAMETERS angstrom
-2.862 4.631 -5.263
3.417 -4.848 -4.707
-7.504 -4.988 -0.309
ATOMIC_POSITIONS crystal
Cr 0.213 0.959 0.357
O 0.352 0.352 0.733
O 0.388 0.132 0.995
Cr 0.041 0.787 0.643
O 0.368 0.112 0.495
Cr 0.816 0.816 0.367
O 0.112 0.368 0.495
Sr 0.000 0.000 0.000
O 0.926 0.426 0.250
O 0.148 0.148 0.233
O 0.787 0.036 0.253
O 0.074 0.574 0.750
Cr 0.089 0.583 0.377
Cr 0.589 0.083 0.123
Cr 0.541 0.287 0.857
Cr 0.411 0.917 0.877
O 0.612 0.868 0.005
Cr 0.316 0.316 0.133
Cr 0.713 0.459 0.143
O 0.888 0.632 0.505
Cr 0.287 0.541 0.857
O 0.464 0.713 0.753
Cr 0.684 0.684 0.867
Cr 0.417 0.911 0.623
O 0.257 0.743 0.000
Cr 0.583 0.089 0.377
O 0.426 0.926 0.250
Cr 0.184 0.184 0.633
Cr 0.083 0.589 0.123
O 0.632 0.888 0.505
O 0.500 0.500 0.000
O 0.287 0.536 0.247
Cr 0.459 0.713 0.143
O 0.000 0.000 0.500
O 0.036 0.787 0.253
O 0.213 0.964 0.747
O 0.536 0.287 0.247
O 0.743 0.257 0.000
Cr 0.911 0.417 0.623
O 0.852 0.852 0.767
Sr 0.500 0.500 0.500
O 0.757 0.243 0.500
Cr 0.917 0.411 0.877
Cr 0.959 0.213 0.357
O 0.868 0.612 0.005
O 0.964 0.213 0.747
O 0.132 0.388 0.995
O 0.243 0.757 0.500
O 0.713 0.464 0.753
O 0.574 0.074 0.750
O 0.648 0.648 0.267
Cr 0.787 0.041 0.643
! E_form (uncorrected)   -2.473 eV/atom
! Symmetry   No. 64
! Magnetization   55.885 μB per cell
! Theoretical density   5.492 Mg/m³
! N(E_F)   0.6 states/eV per cell
! Calculated volume   512.6 Å³/cell

***

! NaAlH4, single point on PBEsol structure, DFT meta-GGA SCAN; values from VASP
&SYSTEM
  ibrav = 0, nat = 12, ntyp = 3
/
ATOMIC_SPECIES
H 1.01 H.upf
Na 22.99 Na.upf
Al 26.98 Al.upf
CELL_PARAMETERS angstrom
-3.140 1.469 -0.570
-1.032 -0.304 4.907
4.239 5.335 1.222
ATOMIC_POSITIONS crystal
H 0.348 0.487 0.696
H 0.075 0.682 0.150
Na 0.167 0.241 0.334
H 0.689 0.512 0.378
H 0.473 0.873 0.946
H 0.652 0.987 0.304
Al 0.586 0.706 0.172
H 0.311 0.012 0.622
Na 0.833 0.741 0.666
H 0.925 0.182 0.850
Al 0.414 0.206 0.828
H 0.527 0.373 0.054
! Symmetry   No. 36
! Magnetization   0.000 μB per cell
! Theoretical density   1.518 Mg/m³
! N(E_F)   0.0 states/eV per cell
! Energy   -4.497 eV per atom
! Calculated volume   118.2 Å³/cell

***

! RePbAu2, single point on PBEsol structure, DFT meta-GGA SCAN; values from VASP
&SYSTEM
  ibrav = 0, nat = 4, ntyp = 3
/
ATOMIC_SPECIES
Pb 207.20 Pb.upf
Au 196.97 Au.upf
Re 186.21 Re.upf
CELL_PARAMETERS angstrom
-2.701 -3.000 -0.378
2.441 -2.462 2.101
-1.831 4.019 2.925
ATOMIC_POSITIONS crystal
Pb 0.500 0.500 0.000
Au 0.250 0.750 0.500
Re 0.000 0.000 0.000
Au 0.750 0.250 0.500
! Symmetry   No. 139
! Magnetization   2.519 μB per cell
! Energy of formation   332 kJ/mol of formula units
! Theoretical density   17.857 Mg/m³
! N(E_F)   2.2 states/eV per cell
! Calculated volume   73.2 Å³/cell

***

! Nb2FeMoH, single point on PBEsol structure, DFT meta-GGA SCAN; values from VASP
&SYSTEM
  ibrav = 0, nat = 5, ntyp = 4
/
ATOMIC_SPECIES
Mo 95.94 Mo.upf
H 1.01 H.upf
Nb 92.91 Nb.upf
Fe 55.84 Fe.upf
CELL_PARAMETERS angstrom
3.461 0.000 0.000
0.000 4.338 0.000
0.000 0.000 4.338
ATOMIC_POSITIONS crystal
Mo 0.500 0.000 0.000
H 0.000 0.000 0.000
Nb 0.000 0.000 0.500
Fe 0.500 0.500 0.500
Nb 0.000 0.500 0.000
! Symmetry   No. 123
! Magnetization   2.023 μB per cell
! Theoretical density   8.632 Mg/m³
! N(E_F)   2.9 states/eV per cell
! Energy   -24.501 eV per atom
! Calculated volume   65.1 Å³/cell

***

! KBeSe2, single point on PBEsol structure, DFT meta-GGA SCAN; values from VASP
&SYSTEM
  ibrav = 0, nat = 4, ntyp = 3
/
ATOMIC_SPECIES
Se 78.96 Se.upf
Be 9.01 Be.upf
K 39.10 K.upf
CELL_PARAMETERS angstrom
3.556 0.000 0.000
0.000 4.862 0.031
0.000 -0.039 5.908
ATOMIC_POSITIONS crystal
Se 0.000 0.000 0.754
Be 0.500 0.000 0.000
Se 0.000 0.000 0.246
K 0.500 0.500 0.500
! E_form (uncorrected)   -0.737 eV/atom
! Symmetry   No. 47
! Magnetization   0.000 μB per cell
! Theoretical density   3.349 Mg/m³
! N(E_F)   0.5 states/eV per cell
! Calculated volume   102.2 Å³/cell

***

! TeCF3, single point on PBEsol structure, DFT meta-GGA SCAN; values from VASP
&SYSTEM
  ibrav = 0, nat = 5, ntyp = 3
/
ATOMIC_SPECIES
F 19.00 F.upf
Te 127.60 Te.upf
C 12.01 C.upf
CELL_PARAMETERS angstrom
3.980 0.000 0.000
0.000 3.980 0.000
0.000 0.000 3.980
ATOMIC_POSITIONS crystal
F 0.500 0.500 0.000
F 0.500 0.000 0.500
Te 0.000 0.000 0.000
C 0.500 0.500 0.500
F 0.000 0.500 0.500
! E_form (uncorrected)   0.492 eV/atom
! Symmetry   No. 221
! Magnetization   0.003 μB per cell
! Theoretical density   5.178 Mg/m³
! N(E_F)   3.2 states/eV per cell
! Calculated volume   63.1 Å³/cell